No. 1
The following is a DFT calculation (PBE) of crystalline Nb2VAu at its relaxed geometry. Values from VASP.

Summary:
As for the space group: Fm-3m, No. 225. Its offset from the most stable computed form is 163 meV/atom. The value obtained for the uncorrected energy is -32.02 eV for the cell shown. Its crystal system is cubic. The value obtained for the formation energy is 129 meV per atom.

Geometry as Quantum ESPRESSO input:
```
&SYSTEM
  ibrav = 0, nat = 4, ntyp = 3
/
ATOMIC_SPECIES
Nb 92.91 Nb.upf
V 50.94 V.upf
Au 196.97 Au.upf
CELL_PARAMETERS angstrom
0.000 3.248 3.248
3.248 0.000 3.248
3.248 3.248 0.000
ATOMIC_POSITIONS angstrom
Nb 1.624 1.624 1.624
Nb 4.872 4.872 4.872
V 0.000 0.000 0.000
Au 3.248 3.248 3.248
```

No. 2
The following is a DFT calculation (PBE) of crystalline NbVAu2 at its relaxed geometry. Values from VASP.

Summary:
As for the space group: Fm-3m, No. 225. Its offset from the most stable computed form is 140 meV/atom. The value obtained for the uncorrected energy is -25.17 eV for the cell shown. Its crystal system is cubic. The value obtained for the formation energy is 142 meV per atom.

Geometry as Quantum ESPRESSO input:
```
&SYSTEM
  ibrav = 0, nat = 4, ntyp = 3
/
ATOMIC_SPECIES
Nb 92.91 Nb.upf
V 50.94 V.upf
Au 196.97 Au.upf
CELL_PARAMETERS angstrom
0.000 3.279 3.279
3.279 0.000 3.279
3.279 3.279 0.000
ATOMIC_POSITIONS angstrom
Nb 0.000 0.000 0.000
V 3.279 3.279 3.279
Au 1.639 1.639 1.639
Au 4.918 4.918 4.918
```

No. 3
The following is a DFT calculation (PBE) of crystalline Nb2VAu at its relaxed geometry. Values from VASP.

Summary:
As for the space group: R-3m, No. 166. Its offset from the most stable computed form is 453 meV/atom. The value obtained for the uncorrected energy is -30.86 eV for the cell shown. Its crystal system is trigonal. The value obtained for the formation energy is 420 meV per atom.

Geometry as Quantum ESPRESSO input:
```
&SYSTEM
  ibrav = 0, nat = 4, ntyp = 3
/
ATOMIC_SPECIES
Nb 92.91 Nb.upf
V 50.94 V.upf
Au 196.97 Au.upf
CELL_PARAMETERS angstrom
1.397 0.807 10.700
-1.397 0.807 10.700
0.000 -1.613 10.700
ATOMIC_POSITIONS angstrom
Nb 0.000 0.000 2.901
Nb 0.000 0.000 29.199
V 0.000 0.000 16.050
Au 0.000 0.000 0.000
```

No. 4
The following is a DFT calculation (PBE) of crystalline NbV2Au at its relaxed geometry. Values from VASP.

Summary:
As for the space group: P4/mmm, No. 123. Its offset from the most stable computed form is 0 meV/atom. The value obtained for the uncorrected energy is -31.56 eV for the cell shown. Its crystal system is tetragonal. The value obtained for the formation energy is 5 meV per atom.

Geometry as Quantum ESPRESSO input:
```
&SYSTEM
  ibrav = 0, nat = 4, ntyp = 3
/
ATOMIC_SPECIES
Nb 92.91 Nb.upf
V 50.94 V.upf
Au 196.97 Au.upf
CELL_PARAMETERS angstrom
3.229 0.000 0.000
0.000 3.229 0.000
0.000 0.000 6.091
ATOMIC_POSITIONS angstrom
Nb 0.000 0.000 0.000
V 1.615 1.615 1.406
V 1.615 1.615 4.684
Au 0.000 0.000 3.045
```

No. 5
The following is a DFT calculation (PBE) of crystalline NbVAu at its relaxed geometry. Values from VASP.

Summary:
As for the space group: Cmmm, No. 65. Its offset from the most stable computed form is 17 meV/atom. The value obtained for the uncorrected energy is -45.10 eV for the cell shown. Its crystal system is orthorhombic. The value obtained for the formation energy is -27 meV per atom.

Geometry as Quantum ESPRESSO input:
```
&SYSTEM
  ibrav = 0, nat = 6, ntyp = 3
/
ATOMIC_SPECIES
Nb 92.91 Nb.upf
V 50.94 V.upf
Au 196.97 Au.upf
CELL_PARAMETERS angstrom
2.100 -5.531 0.000
2.100 5.531 0.000
0.000 0.000 4.247
ATOMIC_POSITIONS angstrom
Nb 2.100 3.887 0.000
Nb 2.100 -3.887 0.000
V 0.000 0.000 2.123
V 2.100 0.000 0.000
Au 2.100 1.799 2.123
Au 2.100 -1.799 2.123
```

No. 6
The following is a DFT calculation (PBE) of crystalline NbV2Au at its relaxed geometry. Values from VASP.

Summary:
As for the space group: P4/mmm, No. 123. Its offset from the most stable computed form is 7 meV/atom. The value obtained for the uncorrected energy is -31.53 eV for the cell shown. Its crystal system is tetragonal. The value obtained for the formation energy is 12 meV per atom.

Geometry as Quantum ESPRESSO input:
```
&SYSTEM
  ibrav = 0, nat = 4, ntyp = 3
/
ATOMIC_SPECIES
Nb 92.91 Nb.upf
V 50.94 V.upf
Au 196.97 Au.upf
CELL_PARAMETERS angstrom
4.274 0.000 0.000
0.000 4.274 0.000
0.000 0.000 3.423
ATOMIC_POSITIONS angstrom
Nb 0.000 0.000 0.000
V 0.000 2.137 1.712
V 2.137 0.000 1.712
Au 2.137 2.137 0.000
```

No. 7
The following is a DFT calculation (PBE) of crystalline NbVAu at its relaxed geometry. Values from VASP.

Summary:
As for the space group: C2/m, No. 12. Its offset from the most stable computed form is 24 meV/atom. The value obtained for the uncorrected energy is -45.06 eV for the cell shown. Its crystal system is monoclinic. The value obtained for the formation energy is -21 meV per atom.

Geometry as Quantum ESPRESSO input:
```
&SYSTEM
  ibrav = 0, nat = 6, ntyp = 3
/
ATOMIC_SPECIES
Nb 92.91 Nb.upf
V 50.94 V.upf
Au 196.97 Au.upf
CELL_PARAMETERS angstrom
5.196 -1.647 0.000
5.196 1.647 0.000
-1.717 0.000 5.862
ATOMIC_POSITIONS angstrom
Nb 1.461 0.000 0.502
Nb 7.215 0.000 5.361
V 4.731 0.000 1.334
V 3.945 0.000 4.528
Au 0.640 0.000 3.391
Au 8.036 0.000 2.471
```

No. 8
The following is a DFT calculation (PBE) of crystalline NbVAu2 at its relaxed geometry. Values from VASP.

Summary:
As for the space group: I-42d, No. 122. Its offset from the most stable computed form is 408 meV/atom. The value obtained for the uncorrected energy is -48.20 eV for the cell shown. Its crystal system is tetragonal. The value obtained for the formation energy is 411 meV per atom.

Geometry as Quantum ESPRESSO input:
```
&SYSTEM
  ibrav = 0, nat = 8, ntyp = 3
/
ATOMIC_SPECIES
Nb 92.91 Nb.upf
V 50.94 V.upf
Au 196.97 Au.upf
CELL_PARAMETERS angstrom
-3.708 3.708 2.656
3.708 -3.708 2.656
3.708 3.708 -2.656
ATOMIC_POSITIONS angstrom
Nb 0.000 0.000 0.000
Nb 0.000 3.708 1.328
V 3.708 0.000 1.328
V 0.000 0.000 2.656
Au 1.854 2.004 -0.664
Au 5.413 1.854 0.664
Au 1.854 1.704 1.992
Au -1.704 1.854 3.320
```

No. 9
The following is a DFT calculation (PBE) of crystalline NbV2Au at its relaxed geometry. Values from VASP.

Summary:
As for the space group: I-42d, No. 122. Its offset from the most stable computed form is 540 meV/atom. The value obtained for the uncorrected energy is -58.81 eV for the cell shown. Its crystal system is tetragonal. The value obtained for the formation energy is 545 meV per atom.

Geometry as Quantum ESPRESSO input:
```
&SYSTEM
  ibrav = 0, nat = 8, ntyp = 3
/
ATOMIC_SPECIES
Nb 92.91 Nb.upf
V 50.94 V.upf
Au 196.97 Au.upf
CELL_PARAMETERS angstrom
-1.930 1.930 9.272
1.930 -1.930 9.272
1.930 1.930 -9.272
ATOMIC_POSITIONS angstrom
Nb 0.000 0.000 0.000
Nb 0.000 1.930 4.636
V 2.896 0.903 -2.318
V 0.903 0.965 2.318
V -0.965 1.027 6.954
V 1.027 0.965 11.589
Au 1.930 0.000 4.636
Au 0.000 0.000 9.272
```

No. 10
The following is a DFT calculation (PBE) of crystalline Nb2VAu at its relaxed geometry. Values from VASP.

Summary:
As for the space group: P4/mmm, No. 123. Its offset from the most stable computed form is 58 meV/atom. The value obtained for the uncorrected energy is -32.44 eV for the cell shown. Its crystal system is tetragonal. The value obtained for the formation energy is 24 meV per atom.

Geometry as Quantum ESPRESSO input:
```
&SYSTEM
  ibrav = 0, nat = 4, ntyp = 3
/
ATOMIC_SPECIES
Nb 92.91 Nb.upf
V 50.94 V.upf
Au 196.97 Au.upf
CELL_PARAMETERS angstrom
4.042 0.000 0.000
0.000 4.042 0.000
0.000 0.000 4.162
ATOMIC_POSITIONS angstrom
Nb 0.000 2.021 0.000
Nb 2.021 0.000 0.000
V 0.000 0.000 2.081
Au 2.021 2.021 2.081
```

No. 11
The following is a DFT calculation (PBE) of crystalline NbV2Au at its relaxed geometry. Values from VASP.

Summary:
As for the space group: Fm-3m, No. 225. Its offset from the most stable computed form is 76 meV/atom. The value obtained for the uncorrected energy is -31.26 eV for the cell shown. Its crystal system is cubic. The value obtained for the formation energy is 81 meV per atom.

Geometry as Quantum ESPRESSO input:
```
&SYSTEM
  ibrav = 0, nat = 4, ntyp = 3
/
ATOMIC_SPECIES
Nb 92.91 Nb.upf
V 50.94 V.upf
Au 196.97 Au.upf
CELL_PARAMETERS angstrom
0.000 3.151 3.151
3.151 0.000 3.151
3.151 3.151 0.000
ATOMIC_POSITIONS angstrom
Nb 0.000 0.000 0.000
V 1.575 1.575 1.575
V 4.726 4.726 4.726
Au 3.151 3.151 3.151
```

No. 12
The following is a DFT calculation (PBE) of crystalline NbV3Au at its relaxed geometry. Values from VASP.

Summary:
As for the space group: Pm-3m, No. 221. Its offset from the most stable computed form is 249 meV/atom. The value obtained for the uncorrected energy is -32.61 eV for the cell shown. Its crystal system is cubic. The value obtained for the formation energy is 1618 meV per atom.

Geometry as Quantum ESPRESSO input:
```
&SYSTEM
  ibrav = 0, nat = 5, ntyp = 3
/
ATOMIC_SPECIES
Nb 92.91 Nb.upf
V 50.94 V.upf
Au 196.97 Au.upf
CELL_PARAMETERS angstrom
4.716 0.000 0.000
0.000 4.716 0.000
0.000 0.000 4.716
ATOMIC_POSITIONS angstrom
Nb 0.000 0.000 0.000
V 0.000 2.358 2.358
V 2.358 0.000 2.358
V 2.358 2.358 0.000
Au 2.358 2.358 2.358
```

No. 13
The following is a DFT calculation (PBE) of crystalline Nb2VAu at its relaxed geometry. Values from VASP.

Summary:
As for the space group: P4/mmm, No. 123. Its offset from the most stable computed form is 0 meV/atom. The value obtained for the uncorrected energy is -32.67 eV for the cell shown. Its crystal system is tetragonal. The value obtained for the formation energy is -34 meV per atom.

Geometry as Quantum ESPRESSO input:
```
&SYSTEM
  ibrav = 0, nat = 4, ntyp = 3
/
ATOMIC_SPECIES
Nb 92.91 Nb.upf
V 50.94 V.upf
Au 196.97 Au.upf
CELL_PARAMETERS angstrom
3.256 0.000 0.000
0.000 3.256 0.000
0.000 0.000 6.442
ATOMIC_POSITIONS angstrom
Nb 0.000 0.000 1.436
Nb 0.000 0.000 5.006
V 1.628 1.628 0.000
Au 1.628 1.628 3.221
```

No. 14
The following is a DFT calculation (PBE) of crystalline NbVW2Au at its relaxed geometry. Values from VASP.

Summary:
As for the space group: P4/mmm, No. 123. The value obtained for the uncorrected energy is -35.72 eV for the cell shown. Its crystal system is tetragonal. The value obtained for the formation energy is 2530 meV per atom.

Geometry as Quantum ESPRESSO input:
```
&SYSTEM
  ibrav = 0, nat = 5, ntyp = 4
/
ATOMIC_SPECIES
Nb 92.91 Nb.upf
V 50.94 V.upf
W 183.84 W.upf
Au 196.97 Au.upf
CELL_PARAMETERS angstrom
4.826 0.000 0.000
0.000 4.826 0.000
0.000 0.000 4.864
ATOMIC_POSITIONS angstrom
Nb 0.000 0.000 0.000
V 2.413 2.413 0.000
W 0.000 2.413 2.432
W 2.413 0.000 2.432
Au 0.000 0.000 2.432
```

No. 15
The following is a DFT calculation (PBE) of crystalline NbW2Au at its relaxed geometry. Values from VASP.

Summary:
As for the space group: Fm-3m, No. 225. Its offset from the most stable computed form is 0 meV/atom. The value obtained for the uncorrected energy is -37.30 eV for the cell shown. Its crystal system is cubic. The value obtained for the formation energy is 489 meV per atom.

Geometry as Quantum ESPRESSO input:
```
&SYSTEM
  ibrav = 0, nat = 4, ntyp = 3
/
ATOMIC_SPECIES
Nb 92.91 Nb.upf
W 183.84 W.upf
Au 196.97 Au.upf
CELL_PARAMETERS angstrom
0.000 3.241 3.241
3.241 0.000 3.241
3.241 3.241 0.000
ATOMIC_POSITIONS angstrom
Nb 0.000 0.000 0.000
W 1.621 1.621 1.621
W 4.862 4.862 4.862
Au 3.241 3.241 3.241
```

No. 16
The following is a DFT calculation (PBE) of crystalline Nb2WAu at its relaxed geometry. Values from VASP.

Summary:
As for the space group: Cmmm, No. 65. Its offset from the most stable computed form is 0 meV/atom. The value obtained for the uncorrected energy is -36.67 eV for the cell shown. Its crystal system is orthorhombic. The value obtained for the formation energy is -76 meV per atom.

Geometry as Quantum ESPRESSO input:
```
&SYSTEM
  ibrav = 0, nat = 4, ntyp = 3
/
ATOMIC_SPECIES
Nb 92.91 Nb.upf
W 183.84 W.upf
Au 196.97 Au.upf
CELL_PARAMETERS angstrom
1.669 -2.242 0.000
1.669 2.242 0.000
0.000 0.000 9.327
ATOMIC_POSITIONS angstrom
Nb 0.000 0.000 2.284
Nb 0.000 0.000 7.043
W 1.669 0.000 0.000
Au 1.669 0.000 4.664
```

No. 17
The following is a DFT calculation (PBE) of crystalline Nb3WAu at its relaxed geometry. Values from VASP.

Summary:
As for the space group: Pm-3m, No. 221. Its offset from the most stable computed form is 0 meV/atom. The value obtained for the uncorrected energy is -39.91 eV for the cell shown. Its crystal system is cubic. The value obtained for the formation energy is 1307 meV per atom.

Geometry as Quantum ESPRESSO input:
```
&SYSTEM
  ibrav = 0, nat = 5, ntyp = 3
/
ATOMIC_SPECIES
Nb 92.91 Nb.upf
W 183.84 W.upf
Au 196.97 Au.upf
CELL_PARAMETERS angstrom
4.847 0.000 0.000
0.000 4.847 0.000
0.000 0.000 4.847
ATOMIC_POSITIONS angstrom
Nb 0.000 0.000 2.424
Nb 0.000 2.424 0.000
Nb 2.424 0.000 0.000
W 0.000 0.000 0.000
Au 2.424 2.424 2.424
```

No. 18
The following is a DFT calculation (PBE) of crystalline Nb2WAu at its relaxed geometry. Values from VASP.

Summary:
As for the space group: P4/mmm, No. 123. Its offset from the most stable computed form is 56 meV/atom. The value obtained for the uncorrected energy is -36.45 eV for the cell shown. Its crystal system is tetragonal. The value obtained for the formation energy is -20 meV per atom.

Geometry as Quantum ESPRESSO input:
```
&SYSTEM
  ibrav = 0, nat = 4, ntyp = 3
/
ATOMIC_SPECIES
Nb 92.91 Nb.upf
W 183.84 W.upf
Au 196.97 Au.upf
CELL_PARAMETERS angstrom
3.331 0.000 0.000
0.000 3.331 0.000
0.000 0.000 6.368
ATOMIC_POSITIONS angstrom
Nb 0.000 0.000 1.492
Nb 0.000 0.000 4.875
W 1.665 1.665 0.000
Au 1.665 1.665 3.184
```

No. 19
The following is a DFT calculation (PBE) of crystalline NbWAu3 at its relaxed geometry. Values from VASP.

Summary:
As for the space group: Pm-3m, No. 221. Its offset from the most stable computed form is 0 meV/atom. The value obtained for the uncorrected energy is -24.74 eV for the cell shown. Its crystal system is cubic. The value obtained for the formation energy is 1624 meV per atom.

Geometry as Quantum ESPRESSO input:
```
&SYSTEM
  ibrav = 0, nat = 5, ntyp = 3
/
ATOMIC_SPECIES
Nb 92.91 Nb.upf
W 183.84 W.upf
Au 196.97 Au.upf
CELL_PARAMETERS angstrom
4.945 0.000 0.000
0.000 4.945 0.000
0.000 0.000 4.945
ATOMIC_POSITIONS angstrom
Nb 0.000 0.000 0.000
W 2.472 2.472 2.472
Au 0.000 2.472 2.472
Au 2.472 0.000 2.472
Au 2.472 2.472 0.000
```

No. 20
The following is a DFT calculation (PBE) of crystalline Nb2WAu at its relaxed geometry. Values from VASP.

Summary:
As for the space group: Fm-3m, No. 225. Its offset from the most stable computed form is 195 meV/atom. The value obtained for the uncorrected energy is -35.90 eV for the cell shown. Its crystal system is cubic. The value obtained for the formation energy is 119 meV per atom.

Geometry as Quantum ESPRESSO input:
```
&SYSTEM
  ibrav = 0, nat = 4, ntyp = 3
/
ATOMIC_SPECIES
Nb 92.91 Nb.upf
W 183.84 W.upf
Au 196.97 Au.upf
CELL_PARAMETERS angstrom
0.000 3.280 3.280
3.280 0.000 3.280
3.280 3.280 0.000
ATOMIC_POSITIONS angstrom
Nb 1.640 1.640 1.640
Nb 4.921 4.921 4.921
W 0.000 0.000 0.000
Au 3.280 3.280 3.280
```